1.
Computed, not measured: a relaxed structure of HfZrSi4 at the PBE-GGA level of DFT.

Cell lengths 3.671, 7.566, 7.566 Å; angles 28.28, 90.00, 90.00 degrees
Positions (direct):
Zr 0.500 0.606 0.606
Hf 0.000 0.395 0.395
Si 0.000 0.752 0.752
Si 0.000 0.052 0.052
Si 0.500 0.945 0.945
Si 0.500 0.251 0.251

As for the raw total energy: -7.3111 eV per atom.


2.
Computed, not measured: a relaxed structure of HoZr at the PBE-GGA level of DFT.

Cell lengths 6.850, 6.850, 5.285 Å; angles 90.00, 90.00, 120.00 degrees
Positions (direct):
Zr 0.487 0.974 0.000
Zr 0.026 0.513 0.000
Zr 0.487 0.513 0.000
Zr 0.333 0.667 0.500
Ho 0.341 0.171 0.500
Ho 0.829 0.659 0.500
Ho 0.829 0.171 0.500
Ho 0.000 0.000 0.000

The value obtained for the energy of formation is 0.13 eV per formula unit.


3.
Computed, not measured: a relaxed structure of Nd3Zr3Te2Os at the PBE-GGA level of DFT.

Cell lengths 8.191, 8.191, 4.012 Å; angles 90.00, 90.00, 120.00 degrees
Positions (direct):
Te 0.333 0.667 0.500
Te 0.667 0.333 0.500
Zr 0.771 0.000 0.500
Zr 0.000 0.771 0.500
Zr 0.229 0.229 0.500
Nd 0.000 0.403 0.000
Nd 0.403 0.000 0.000
Nd 0.597 0.597 0.000
Os 0.000 0.000 0.000

Its energy above the lowest structure with this stoichiometry is 0 meV/atom.


4.
Computed, not measured: a relaxed structure of In4PdPt at the PBE-GGA level of DFT.

Cell lengths 9.501, 9.501, 6.731 Å; angles 90.00, 90.00, 152.90 degrees
Positions (direct):
In 0.828 0.172 0.005
In 0.561 0.439 0.750
In 0.828 0.172 0.495
In 0.172 0.828 0.505
In 0.439 0.561 0.250
In 0.172 0.828 0.995
In 0.000 0.000 0.000
In 0.000 0.000 0.500
Pt 0.705 0.295 0.750
Pt 0.295 0.705 0.250
Pd 0.303 0.697 0.750
Pd 0.697 0.303 0.250

As for the raw total energy: -3.9079 eV per atom.


5.
Computed, not measured: a relaxed structure of PrSiGe at the PBE-GGA level of DFT.

Cell lengths 8.164, 8.164, 8.164 Å; angles 150.29, 149.97, 42.75 degrees
Positions (direct):
Ge 0.702 0.952 0.750
Ge 0.298 0.048 0.250
Pr 0.121 0.371 0.750
Pr 0.879 0.629 0.250
Si 0.462 0.212 0.250
Si 0.538 0.788 0.750

Its energy above the lowest structure with this stoichiometry is 0 meV/atom.


6.
Computed, not measured: a relaxed structure of Dy3Er2Tm3 at the PBE-GGA level of DFT.

Cell lengths 7.145, 7.145, 5.559 Å; angles 90.00, 90.00, 120.00 degrees
Positions (direct):
Er 0.667 0.333 0.500
Er 0.000 0.000 0.000
Dy 0.667 0.833 0.500
Dy 0.167 0.833 0.500
Dy 0.167 0.333 0.500
Tm 0.500 0.500 0.000
Tm 0.500 0.000 0.000
Tm 0.000 0.500 0.000

The value obtained for the energy of formation is 0.03 eV per formula unit.


7.
Computed, not measured: a relaxed structure of Er3Ge3Ir2 at the PBE-GGA level of DFT.

Cell lengths 5.625, 5.625, 14.202 Å; angles 90.00, 90.00, 134.95 degrees
Positions (direct):
Ge 0.846 0.154 0.750
Ge 0.877 0.123 0.035
Ge 0.154 0.846 0.250
Ge 0.123 0.877 0.965
Ge 0.123 0.877 0.535
Ge 0.877 0.123 0.465
Er 0.416 0.584 0.610
Er 0.584 0.416 0.390
Er 0.143 0.857 0.750
Er 0.584 0.416 0.110
Er 0.857 0.143 0.250
Er 0.416 0.584 0.890
Ir 0.300 0.700 0.397
Ir 0.300 0.700 0.103
Ir 0.700 0.300 0.897
Ir 0.700 0.300 0.603

As for the raw total energy: -6.5896 eV per atom.


8.
Computed, not measured: a relaxed structure of ZrAl at the PBE-GGA level of DFT.

Cell lengths 4.428, 4.428, 4.428 Å; angles 60.00, 60.00, 60.00 degrees
Positions (direct):
Al 0.000 0.000 0.000
Zr 0.250 0.250 0.250

As for the raw total energy: -4.8584 eV per atom.


9.
Computed, not measured: a relaxed structure of Dy2In8Co at the PBE-GGA level of DFT.

Cell lengths 4.599, 4.599, 12.207 Å; angles 90.00, 90.00, 90.00 degrees
Positions (direct):
In 0.000 0.500 0.119
In 0.500 0.000 0.119
In 0.000 0.500 0.881
In 0.000 0.500 0.500
In 0.500 0.500 0.694
In 0.500 0.000 0.881
In 0.500 0.500 0.306
In 0.500 0.000 0.500
Dy 0.000 0.000 0.307
Dy 0.000 0.000 0.693
Co 0.000 0.000 0.000

As for the raw total energy: -3.7781 eV per atom.


10.
Computed, not measured: a relaxed structure of CdSiMo4N2 at the PBE-GGA level of DFT.

Cell lengths 2.964, 2.964, 14.015 Å; angles 90.00, 90.00, 120.00 degrees
Positions (direct):
Cd 0.000 0.000 0.000
Si 0.667 0.333 0.500
N 0.333 0.667 0.734
N 0.333 0.667 0.266
Mo 0.000 0.000 0.638
Mo 0.000 0.000 0.362
Mo 0.667 0.333 0.824
Mo 0.667 0.333 0.176

As for the raw total energy: -8.3357 eV per atom.


11.
Computed, not measured: a relaxed structure of RbCuMoSeS2 at the PBE-GGA level of DFT.

Cell lengths 7.868, 7.868, 9.724 Å; angles 90.00, 90.00, 152.40 degrees
Each line ends with the local moment (μB).
Positions (direct):
Se 0.074 0.926 0.750  -0.03
Se 0.926 0.074 0.250  -0.03
Rb 0.763 0.237 0.750  0.00
Rb 0.237 0.763 0.250  0.00
Cu 0.528 0.472 0.250  0.00
Cu 0.472 0.528 0.750  0.00
S 0.396 0.604 0.948  -0.01
S 0.604 0.396 0.052  -0.01
S 0.604 0.396 0.448  -0.01
S 0.396 0.604 0.552  -0.01
Mo 0.000 0.000 0.000  1.80
Mo 0.000 0.000 0.500  1.79

As for the raw total energy: -5.1202 eV per atom.


12.
Computed, not measured: a relaxed structure of ThNbBi at the PBE-GGA level of DFT.

Cell lengths 4.926, 4.926, 4.926 Å; angles 60.00, 60.00, 60.00 degrees
Positions (direct):
Th 0.750 0.750 0.750
Nb 0.000 0.000 0.000
Bi 0.250 0.250 0.250

Its energy above the lowest structure with this stoichiometry is 0 meV/atom.


13.
Computed, not measured: a relaxed structure of CsRbAgBi at the PBE-GGA level of DFT.

Cell lengths 6.738, 7.189, 7.189 Å; angles 105.47, 90.00, 90.00 degrees
Positions (direct):
Cs 0.500 0.177 0.524
Cs 0.500 0.524 0.177
Ag 0.250 0.998 0.998
Ag 0.750 0.998 0.998
Rb 0.000 0.482 0.826
Rb 0.000 0.826 0.482
Bi 0.500 0.737 0.737
Bi 0.000 0.258 0.258

Its energy above the lowest structure with this stoichiometry is 5 meV/atom.


14.
Computed, not measured: a relaxed structure of TaHg2As at the PBE-GGA level of DFT.

Cell lengths 4.827, 4.827, 4.827 Å; angles 60.00, 60.00, 60.00 degrees
Positions (direct):
Hg 0.750 0.750 0.750
Hg 0.000 0.000 0.000
As 0.500 0.500 0.500
Ta 0.250 0.250 0.250

As for the raw total energy: -3.6908 eV per atom.


15.
Computed, not measured: a relaxed structure of PrSmAsO at the PBE-GGA level of DFT.

Cell lengths 4.342, 7.856, 6.146 Å; angles 90.00, 90.00, 90.00 degrees
Positions (direct):
As 0.000 0.669 0.932
As 0.000 0.331 0.432
O 0.500 0.833 0.375
O 0.500 0.167 0.875
Pr 0.000 0.297 0.937
Pr 0.000 0.703 0.437
Sm 0.500 0.889 0.010
Sm 0.500 0.111 0.510

Its energy above the lowest structure with this stoichiometry is 0 meV/atom.


16.
Computed, not measured: a relaxed structure of LaCdInSe3 at the PBE-GGA level of DFT.

Cell lengths 12.155, 4.526, 12.576 Å; angles 90.00, 90.00, 90.00 degrees
Positions (direct):
Cd 0.752 0.250 0.200
Cd 0.252 0.250 0.300
Cd 0.248 0.750 0.800
Cd 0.748 0.750 0.700
La 0.015 0.250 0.680
La 0.515 0.250 0.820
La 0.985 0.750 0.320
La 0.485 0.750 0.180
In 0.337 0.750 0.505
In 0.837 0.750 0.995
In 0.163 0.250 0.005
In 0.663 0.250 0.495
Se 0.225 0.750 0.184
Se 0.775 0.250 0.816
Se 0.035 0.750 0.846
Se 0.593 0.250 0.059
Se 0.965 0.250 0.154
Se 0.725 0.750 0.316
Se 0.465 0.250 0.346
Se 0.407 0.750 0.941
Se 0.093 0.250 0.441
Se 0.535 0.750 0.654
Se 0.907 0.750 0.559
Se 0.275 0.250 0.684

Its energy above the lowest structure with this stoichiometry is 0 meV/atom.


17.
Computed, not measured: a relaxed structure of RbMgNbNi at the PBE-GGA level of DFT.

Cell lengths 5.103, 5.103, 5.103 Å; angles 60.00, 60.00, 60.00 degrees
Positions (direct):
Nb 0.000 0.000 0.000
Ni 0.500 0.500 0.500
Mg 0.750 0.750 0.750
Rb 0.250 0.250 0.250

Its energy above the lowest structure with this stoichiometry is 228 meV/atom.


18.
Computed, not measured: a relaxed structure of NdSmFe at the PBE-GGA level of DFT.

Cell lengths 4.789, 4.789, 4.789 Å; angles 60.00, 60.00, 60.00 degrees
Each line ends with the local moment (μB).
Positions (direct):
Sm 0.750 0.750 0.750  -0.12
Fe 0.000 0.000 0.000  0.69
Nd 0.250 0.250 0.250  -0.10

The value obtained for the energy of formation is 0.80 eV per formula unit. Its energy above the lowest structure with this stoichiometry is 0 meV/atom.


19.
Computed, not measured: a relaxed structure of CsTb2CuTeS3 at the PBE-GGA level of DFT.

Cell lengths 7.653, 7.653, 14.087 Å; angles 90.00, 90.00, 148.48 degrees
Positions (direct):
Tb 0.852 0.148 0.933
Tb 0.148 0.852 0.433
Tb 0.852 0.148 0.567
Tb 0.148 0.852 0.067
S 0.909 0.091 0.750
S 0.091 0.909 0.250
S 0.240 0.760 0.608
S 0.240 0.760 0.892
S 0.760 0.240 0.392
S 0.760 0.240 0.108
Cu 0.672 0.328 0.250
Cu 0.328 0.672 0.750
Te 0.500 0.500 0.000
Te 0.500 0.500 0.500
Cs 0.401 0.599 0.250
Cs 0.599 0.401 0.750

Its energy above the lowest structure with this stoichiometry is 0 meV/atom.


20.
Computed, not measured: a relaxed structure of HfZrAu2 at the PBE-GGA level of DFT.

Cell lengths 3.524, 3.524, 6.371 Å; angles 90.00, 90.00, 90.00 degrees
Positions (direct):
Au 0.500 0.500 0.630
Au 0.000 0.000 0.374
Zr 0.500 0.500 0.146
Hf 0.000 0.000 0.850

The value obtained for the energy of formation is -2.18 eV per formula unit. Its energy above the lowest structure with this stoichiometry is 0 meV/atom.